NdAgGe | PBE | optimized geometry

```
NdAgGe
1.0
4.5414 0.0000 0.0000
-2.2707 3.9330 0.0000
0.0000 0.0000 3.8667
Nd Ag Ge
1 1 1
Direct
0.0000 0.0000 0.0000
0.3333 0.6667 0.5000
0.6667 0.3333 0.5000
```

Results
ΔE_f in eV/atom: -0.547
Raw total energy in eV per formula unit: -13.9
D(E_F) in states/eV per cell: 2.2